This record from the Alexandria database describes an optimized crystal structure of LiNdScNi. The functional is PBE-GGA.

Cell lengths 4.864, 4.864, 4.864 Å; angles 60.00, 60.00, 60.00 degrees
Sites, in units of the cell vectors:
1 Li 0.000 0.000 0.000
2 Nd 0.250 0.250 0.250
3 Sc 0.750 0.750 0.750
4 Ni 0.500 0.500 0.500

Calculated values
**Calculated volume**: 20.34 Å³ per atom
**Formation energy**: -0.33 eV/f.u.
**Magnetization**: 0.00 μB per formula unit
**Space-group type**: F-43m
**DFT total energy**: -19.13 eV for the cell shown

---

This record from the Alexandria database describes an optimized crystal structure of LuCoRh2. The functional is PBE-GGA.

Cell lengths 4.067, 4.067, 3.763 Å; angles 90.00, 90.00, 90.00 degrees
Sites, in units of the cell vectors:
1 Lu 0.000 0.000 0.000
2 Co 0.500 0.500 0.000
3 Rh 0.000 0.500 0.500
4 Rh 0.500 0.000 0.500

Calculated values
**Calculated volume**: 15.56 Å³ per atom
**Formation energy**: -1.56 eV/f.u.
**Magnetization**: 2.30 μB per formula unit
**Space-group type**: P4/mmm
**DFT total energy**: -27.89 eV for the cell shown